Density functional theory data (GGA-PBE) for an optimized crystal structure of Ce3Zn7Ni2.

Results
**VASP energy**: -41.611 eV per formula unit
**ΔE_f**: -3.3 eV per formula unit
**Total moment**: 0.8 Bohr magnetons per cell
**DOS(E_F)**: 1.576 states/eV/atom

Lattice parameters (Å, degrees): 9.2647 9.2647 9.2647 33.29 33.29 33.29
Sites, in units of the cell vectors:
Ce1 0.0000 0.0000 0.0000
Ce2 0.1519 0.1519 0.1519
Ce3 0.8481 0.8481 0.8481
Zn1 0.0770 0.5764 0.5764
Zn2 0.4236 0.4236 0.9230
Zn3 0.4236 0.9230 0.4236
Zn4 0.5000 0.5000 0.5000
Zn5 0.5764 0.0770 0.5764
Zn6 0.5764 0.5764 0.0770
Zn7 0.9230 0.4236 0.4236
Ni1 0.3339 0.3339 0.3339
Ni2 0.6661 0.6661 0.6661

Density functional theory data (GGA-PBE) for an optimized crystal structure of CeZn2Ni.

Results
**VASP energy**: -14.650 eV per formula unit
**ΔE_f**: -0.4 eV per formula unit
**Total moment**: 0.0 Bohr magnetons per cell
**DOS(E_F)**: 1.183 states/eV/atom

Lattice parameters (Å, degrees): 3.8653 3.8653 4.9265 90.00 90.00 90.00
Sites, in units of the cell vectors:
Ce1 0.0000 0.0000 0.0000
Zn1 0.0000 0.5000 0.5000
Zn2 0.5000 0.0000 0.5000
Ni1 0.5000 0.5000 0.0000

Density functional theory data (GGA-PBE) for an optimized crystal structure of Ce3Zn5Ni2.

Results
**VASP energy**: -38.098 eV per formula unit
**ΔE_f**: -2.4 eV per formula unit
**Total moment**: 3.8 Bohr magnetons per cell
**DOS(E_F)**: 1.782 states/eV/atom

Lattice parameters (Å, degrees): 8.4405 8.4405 8.4405 107.24 89.73 135.10
Sites, in units of the cell vectors:
Ce1 0.1423 0.7375 0.8798
Ce2 0.2500 0.2500 0.0000
Ce3 0.3577 0.2375 0.5952
Ce4 0.6423 0.7625 0.4048
Ce5 0.7500 0.7500 0.0000
Ce6 0.8577 0.2625 0.1202
Zn1 0.0082 0.7500 0.2582
Zn2 0.1116 0.3584 0.4700
Zn3 0.2500 0.7500 0.5000
Zn4 0.3884 0.8584 0.2467
Zn5 0.4918 0.7500 0.7418
Zn6 0.5082 0.2500 0.2582
Zn7 0.6116 0.1416 0.7533
Zn8 0.7500 0.2500 0.5000
Zn9 0.8884 0.6416 0.5300
Zn10 0.9918 0.2500 0.7418
Ni1 0.1406 0.1252 0.2659
Ni2 0.3594 0.6252 0.9846
Ni3 0.6406 0.3748 0.0154
Ni4 0.8594 0.8748 0.7341

Density functional theory data (GGA-PBE) for an optimized crystal structure of CeZn4Ni.

Results
**VASP energy**: -18.601 eV per formula unit
**ΔE_f**: -1.8 eV per formula unit
**E above lowest polymorph**: 0.000 kcal/mol of atoms
**Total moment**: 0.8 Bohr magnetons per cell
**DOS(E_F)**: 1.170 states/eV/atom

Lattice parameters (Å, degrees): 5.2264 5.2264 4.2559 90.00 90.00 120.00
Sites, in units of the cell vectors:
Ce1 0.0000 0.0000 0.0000
Zn1 0.0070 0.5035 0.5000
Zn2 0.4965 0.5035 0.5000
Zn3 0.4965 0.9930 0.5000
Zn4 0.6667 0.3333 0.0000
Ni1 0.3333 0.6667 0.0000

> Which value of total moment does entry 2 give?

0.0 Bohr magnetons per cell

> Which of these has the highest ΔE_f?

CeZn2Ni

> The highest VASP energy belongs to which entry?

CeZn2Ni

Please write out number 1 again, unchanged.
Density functional theory data (GGA-PBE) for an optimized crystal structure of Ce3Zn7Ni2.

Results
**VASP energy**: -41.611 eV per formula unit
**ΔE_f**: -3.3 eV per formula unit
**Total moment**: 0.8 Bohr magnetons per cell
**DOS(E_F)**: 1.576 states/eV/atom

Lattice parameters (Å, degrees): 9.2647 9.2647 9.2647 33.29 33.29 33.29
Sites, in units of the cell vectors:
Ce1 0.0000 0.0000 0.0000
Ce2 0.1519 0.1519 0.1519
Ce3 0.8481 0.8481 0.8481
Zn1 0.0770 0.5764 0.5764
Zn2 0.4236 0.4236 0.9230
Zn3 0.4236 0.9230 0.4236
Zn4 0.5000 0.5000 0.5000
Zn5 0.5764 0.0770 0.5764
Zn6 0.5764 0.5764 0.0770
Zn7 0.9230 0.4236 0.4236
Ni1 0.3339 0.3339 0.3339
Ni2 0.6661 0.6661 0.6661